[1]
Sr4Si: optimized geometry, GGA-PBE.

POSCAR file:
```
Sr4Si
1.0
6.221 0.000 0.000
0.000 6.221 0.000
0.000 0.000 6.221
Sr Si
4 1
Cartesian
0.000 0.000 0.000
3.111 0.000 3.111
0.000 3.111 3.111
3.111 3.111 0.000
3.111 3.111 3.111
```

Uncorrected formation energy in eV per atom: -0.09
Distance to the lowest polymorph of the same formula in eV/atom: 0.000
Energy in eV per atom: -2.524

=====

[2]
CaLa2PdO5: optimized geometry, GGA-PBE.

POSCAR file:
```
CaLa2PdO5
1.0
5.872 0.000 0.000
0.000 6.827 0.000
0.000 0.000 6.827
Ca La Pd O
2 4 2 10
Cartesian
0.000 3.414 3.414
0.000 0.000 0.000
2.936 4.599 1.186
2.936 1.186 2.228
2.936 5.642 4.599
2.936 2.228 5.642
0.000 0.000 3.414
0.000 3.414 0.000
2.936 3.414 3.414
2.936 0.000 0.000
1.407 1.012 4.426
1.407 5.815 2.401
1.407 2.401 1.012
1.407 4.426 5.815
4.465 1.012 4.426
4.465 4.426 5.815
4.465 5.815 2.401
4.465 2.401 1.012
```

Uncorrected formation energy in eV per atom: -2.54
Energy in eV per atom: -7.186

=====

[3]
K2PaCdTe4: optimized geometry, GGA-PBE.

POSCAR file:
```
K2PaCdTe4
1.0
-3.076 -1.055 -3.076
5.766 -1.938 -5.101
-2.159 -7.036 4.571
K Pa Cd Te
2 1 1 4
Cartesian
-2.618 -4.045 0.747
1.804 -4.487 -0.265
1.345 -1.496 -4.089
0.000 0.000 0.000
-0.620 -2.348 -1.832
1.151 -7.681 -1.774
-0.104 -6.043 2.175
3.711 -2.932 -2.705
```

Uncorrected formation energy in eV per atom: -0.83
Energy in eV per atom: -3.978

=====

[4]
LaNdOsAu: optimized geometry, GGA-PBE.

POSCAR file:
```
LaNdOsAu
1.0
5.143 0.000 0.000
2.571 4.454 0.000
2.571 1.485 4.199
Os Au Nd La
1 1 1 1
Cartesian
5.143 2.969 2.100
0.000 0.000 0.000
7.714 4.454 3.149
2.571 1.485 1.050
```

Energy in eV per atom: -6.358
ΔH_f (0 K) in meV/atom: -308

=====

[5]
CeSm2: optimized geometry, GGA-PBE.

POSCAR file:
```
CeSm2
1.0
-2.401 1.691 -2.009
-0.571 -2.994 -1.837
-3.958 -1.296 6.790
Ce Sm
1 2
Cartesian
0.000 0.000 0.000
-3.223 -1.273 -0.370
-3.707 -1.326 3.314
```

Distance to the lowest polymorph of the same formula in eV/atom: 0.017
Energy in eV per atom: -5.051
ΔH_f (0 K) in meV/atom: 73

=====

[6]
La2AlPb: optimized geometry, GGA-PBE.

POSCAR file:
```
La2AlPb
1.0
8.794 0.000 0.000
0.000 8.794 0.000
4.397 4.397 3.243
Pb Al La
2 2 4
Cartesian
0.000 0.000 0.000
8.794 4.397 1.621
4.397 4.397 0.000
4.397 8.794 1.621
6.525 2.199 0.811
2.269 6.596 0.811
6.596 6.666 2.432
10.993 10.922 2.432
```

Energy in eV per atom: -4.475
ΔH_f (0 K) in meV/atom: -148

=====

[7]
Sm8Te4As3H: optimized geometry, GGA-PBE.

POSCAR file:
```
Sm8Te4As3H
1.0
8.483 0.000 0.000
0.000 8.690 0.140
-4.241 -4.237 6.001
Sm Te As H
8 4 3 1
Cartesian
-2.106 2.118 5.981
0.000 4.221 3.000
0.000 0.245 3.170
2.106 2.118 5.981
2.135 2.336 0.161
4.241 4.209 2.971
4.241 0.232 3.141
6.347 2.336 0.161
4.241 0.000 0.000
2.121 -2.118 3.001
0.000 0.000 0.000
-2.121 -2.118 3.001
4.241 4.345 0.070
2.121 2.227 3.071
-2.121 2.227 3.071
0.000 4.345 0.070
```

Energy in eV per atom: -5.534

=====

[8]
Sn3GePd3: optimized geometry, GGA-PBE.

POSCAR file:
```
Sn3GePd3
1.0
-2.211 -6.502 -0.942
6.903 0.251 0.588
-0.395 -0.959 6.581
Sn Ge Pd
6 2 6
Cartesian
2.647 -3.978 1.792
5.471 -1.143 3.672
-1.174 -6.067 2.555
4.769 -1.330 0.230
-0.078 -4.922 -0.584
1.650 -3.232 4.435
3.260 -5.593 5.267
1.037 -1.617 0.960
4.189 -5.845 0.847
1.211 -5.906 3.809
4.414 -3.533 4.347
3.086 -1.304 2.418
-0.117 -3.677 1.880
0.108 -1.365 5.380
```

Energy in eV per atom: -4.870
ΔH_f (0 K) in meV/atom: -270